[1]
## CsBaZnI5 (PBE)

Data for a relaxed CsBaZnI5 crystal.

Cell: 9.094 9.094 12.017 Å, 104.36 104.36 106.02°
Fractional coordinates of all 16 atoms:
1 Cs 0.140 0.860 0.750
2 Cs 0.860 0.140 0.250
3 Ba 0.500 0.500 0.000
4 Ba 0.500 0.500 0.500
5 Zn 0.186 0.814 0.250
6 Zn 0.814 0.186 0.750
7 I 0.089 0.250 0.929
8 I 0.164 0.591 0.358
9 I 0.250 0.089 0.429
10 I 0.397 0.603 0.750
11 I 0.409 0.836 0.142
12 I 0.591 0.164 0.858
13 I 0.603 0.397 0.250
14 I 0.750 0.911 0.571
15 I 0.836 0.409 0.642
16 I 0.911 0.750 0.071

Results
DOS(E_F): 0.00 states/eV/atom
energy relative to the elements, uncorrected: -1259.9 meV per atom
crystal system: monoclinic



[2]
## Ce2Dy (PBE)

Data for a relaxed Ce2Dy crystal.

Cell: 5.153 10.077 3.343 Å, 90.00 90.00 90.00°
Fractional coordinates of all 6 atoms:
1 Ce 0.000 0.188 0.000
2 Ce 0.000 0.812 0.000
3 Ce 0.500 0.312 0.000
4 Ce 0.500 0.688 0.000
5 Dy 0.000 0.500 0.500
6 Dy 0.500 0.000 0.500

Results
DOS(E_F): 2.81 states/eV/atom
calculated formation energy: 0.1069 eV per atom
crystal system: orthorhombic



[3]
## NdMg11Cd (PBE)

Data for a relaxed NdMg11Cd crystal.

Cell: 7.797 7.797 7.755 Å, 98.26 98.26 135.07°
Fractional coordinates of all 13 atoms:
1 Nd 0.000 0.000 0.000
2 Mg 0.000 0.000 0.500
3 Mg 0.000 0.500 0.000
4 Mg 0.002 0.351 0.352
5 Mg 0.289 0.500 0.786
6 Mg 0.351 0.002 0.352
7 Mg 0.500 0.000 0.000
8 Mg 0.500 0.289 0.786
9 Mg 0.500 0.711 0.214
10 Mg 0.649 0.998 0.648
11 Mg 0.711 0.500 0.214
12 Mg 0.998 0.649 0.648
13 Cd 0.500 0.500 0.500

Results
DOS(E_F): 0.42 states/eV/atom
calculated formation energy: -0.0766 eV per atom
crystal system: monoclinic



[4]
## CsZn3P2 (PBE)

Data for a relaxed CsZn3P2 crystal.

Cell: 4.052 8.103 9.762 Å, 105.13 101.92 104.20°
Fractional coordinates of all 12 atoms:
1 Cs 0.088 0.226 0.453
2 Cs 0.912 0.774 0.547
3 Zn 0.093 0.512 0.177
4 Zn 0.314 0.037 0.099
5 Zn 0.317 0.230 0.912
6 Zn 0.683 0.770 0.088
7 Zn 0.686 0.963 0.901
8 Zn 0.907 0.488 0.823
9 P 0.289 0.832 0.239
10 P 0.475 0.635 0.815
11 P 0.525 0.365 0.185
12 P 0.711 0.168 0.761

Results
DOS(E_F): 0.34 states/eV/atom
calculated formation energy: -0.2571 eV per atom
crystal system: triclinic



[5]
## Nd2SCl2O (PBE)

Data for a relaxed Nd2SCl2O crystal.

Cell: 3.991 10.863 7.236 Å, 90.00 90.00 90.00°
Fractional coordinates of all 12 atoms:
1 Nd 0.000 0.068 0.000
2 Nd 0.000 0.932 0.500
3 Nd 0.500 0.238 0.404
4 Nd 0.500 0.762 0.904
5 S 0.500 0.068 0.693
6 S 0.500 0.932 0.193
7 Cl 0.000 0.398 0.537
8 Cl 0.000 0.602 0.037
9 Cl 0.500 0.269 0.024
10 Cl 0.500 0.731 0.524
11 O 0.000 0.130 0.332
12 O 0.000 0.870 0.832

Results
DOS(E_F): 0.00 states/eV/atom
energy relative to the elements, uncorrected: -2547.4 meV per atom
crystal system: orthorhombic



[6]
## PmSmPa4 (PBE)

Data for a relaxed PmSmPa4 crystal.

Cell: 6.181 6.181 6.181 Å, 60.00 60.00 60.00°
Fractional coordinates of all 6 atoms:
1 Pm 0.000 0.000 0.000
2 Sm 0.750 0.750 0.750
3 Pa 0.375 0.375 0.375
4 Pa 0.375 0.375 0.875
5 Pa 0.375 0.875 0.375
6 Pa 0.875 0.375 0.375

Results
DOS(E_F): 2.50 states/eV/atom
calculated formation energy: 0.2427 eV per atom
crystal system: cubic



How do the records compare in V? In the order shown, they have 870.2, 173.6, 308.6, 287.1, 313.7, 167.0 Å³ per cell.
How do the records compare in total DFT energy (no corrections)? In the order shown, they have -43.76, -32.30, -24.22, -34.08, -75.20, -46.00 eV per cell.